The following is a PBEsol calculation of Hg2Se after structural relaxation, from Alexandria.

Structure (POSCAR):
```
Hg2Se
1.0
3.645 0.000 0.000
0.000 4.749 0.000
0.000 -2.374 4.112
Hg Se
2 1
Cartesian
1.822 2.374 1.371 Hg
1.822 0.000 2.742 Hg
0.000 0.000 0.000 Se
```

Energy above the most stable polymorph in this dataset   0.345 eV per atom
Energy relative to the elements, uncorrected   27.39 kJ/mol of atoms
Electronic total energy   -1.38 eV per atom
Symmetry   P6/mmm (191)
N(E_F)   2.8 states/eV per cell
V   71.17 Å³ per cell
Crystal system   hexagonal



The following is a PBEsol calculation of Ti15NbO32 after structural relaxation, from Alexandria.

Structure (POSCAR):
```
Ti15NbO32
1.0
7.593 0.000 0.000
0.000 7.593 0.000
0.000 0.000 9.564
O Ti Nb
32 15 1
Cartesian
0.000 1.901 5.182 O
3.797 5.705 9.179 O
1.894 5.696 7.581 O
1.897 1.894 1.983 O
1.894 0.000 0.399 O
0.000 5.693 5.182 O
5.699 0.000 0.399 O
3.797 5.715 5.214 O
3.797 3.797 2.753 O
5.696 5.700 1.983 O
1.897 5.700 1.983 O
5.705 3.797 0.385 O
3.797 3.797 6.812 O
0.000 3.797 2.767 O
1.889 3.797 0.385 O
5.700 5.696 7.581 O
0.000 1.894 9.165 O
3.797 0.000 6.798 O
5.696 1.894 1.983 O
0.000 0.000 2.795 O
1.894 1.897 7.581 O
5.693 0.000 4.382 O
0.000 3.797 6.760 O
1.901 0.000 4.382 O
5.700 1.897 7.581 O
0.000 5.699 9.165 O
3.797 1.878 5.214 O
1.878 3.797 4.350 O
3.797 1.889 9.179 O
0.000 0.000 6.769 O
5.715 3.797 4.350 O
3.797 0.000 2.804 O
3.797 5.728 7.252 Ti
0.000 0.000 4.782 Ti
1.880 5.714 0.000 Ti
0.000 1.894 7.165 Ti
5.700 0.000 2.400 Ti
1.894 0.000 2.400 Ti
5.714 1.880 0.000 Ti
0.000 5.700 7.165 Ti
3.797 0.000 4.773 Ti
1.880 1.880 0.000 Ti
0.000 3.797 4.791 Ti
1.865 3.797 2.312 Ti
3.797 1.865 7.252 Ti
5.728 3.797 2.312 Ti
5.714 5.714 0.000 Ti
3.797 3.797 4.782 Nb
```

Energy relative to the elements, uncorrected   -291.83 kJ/mol of atoms
Electronic total energy   -9.35 eV per atom
Symmetry   P-4m2 (115)
N(E_F)   3.6 states/eV per cell
V   551.48 Å³ per cell
Crystal system   tetragonal



The following is a PBEsol calculation of GaAuIO2 after structural relaxation, from Alexandria.

Structure (POSCAR):
```
GaAuIO2
1.0
-4.000 0.143 0.244
0.220 -0.598 3.959
0.290 6.465 0.961
Au O I Ga
1 2 1 1
Cartesian
0.000 0.000 0.000 Au
-2.000 0.072 0.122 O
0.110 -0.299 1.979 O
0.145 3.233 0.481 I
-1.745 3.005 2.582 Ga
```

Energy relative to the elements, uncorrected   34.15 kJ/mol of atoms
Electronic total energy   -3.55 eV per atom
Symmetry   P4/mmm (123)
N(E_F)   3.7 states/eV per cell
V   105.20 Å³ per cell
Crystal system   tetragonal



The following is a PBEsol calculation of CaCrSi2O6 after structural relaxation, from Alexandria.

Structure (POSCAR):
```
CaCrSi2O6
1.0
-4.556 -0.947 -2.396
-3.245 -3.665 4.635
-3.797 5.109 2.218
Si O Ca Cr
4 12 2 2
Cartesian
-8.390 1.162 2.928 Si
-6.009 -0.001 4.577 Si
-5.590 0.499 -0.120 Si
-3.209 -0.665 1.528 Si
-4.793 0.164 -1.495 O
-2.523 0.676 2.307 O
-3.202 -1.806 2.651 O
-6.805 0.333 5.952 O
-8.397 2.304 1.805 O
-5.752 2.045 0.262 O
-9.075 -0.179 2.149 O
-4.778 -0.166 1.211 O
-5.846 -1.548 4.194 O
-2.413 -0.988 0.150 O
-6.820 0.664 3.245 O
-9.185 1.486 4.306 O
-6.828 -1.744 2.113 Ca
-4.771 2.241 2.344 Ca
-7.161 3.557 0.653 Cr
-4.437 -3.060 3.804 Cr
```

Energy above the most stable polymorph in this dataset   0.000 eV per atom
Energy relative to the elements, uncorrected   -247.84 kJ/mol of atoms
Electronic total energy   -8.11 eV per atom
Symmetry   C2/c (15)
N(E_F)   7.1 states/eV per cell
V   227.83 Å³ per cell
Crystal system   monoclinic



The following is a PBEsol calculation of La2Os3 after structural relaxation, from Alexandria.

Structure (POSCAR):
```
La2Os3
1.0
-0.783 2.958 -4.760
2.809 -1.616 -4.830
-5.494 -6.073 0.493
Os La
6 4
Cartesian
-2.021 -4.975 -4.960 Os
-3.891 -2.746 -4.949 Os
0.302 -1.528 -4.882 Os
-0.100 0.376 -0.605 Os
-1.177 -0.778 -2.491 Os
-1.638 -2.729 -3.964 Os
-4.375 -4.881 -3.048 La
-2.542 0.141 -5.274 La
-1.488 -2.747 -7.242 La
0.736 0.796 -7.089 La
```

Electronic total energy   -9.46 eV per atom
Symmetry   Fdd2 (43)
N(E_F)   6.3 states/eV per cell
V   221.46 Å³ per cell
Crystal system   orthorhombic



The following is a PBEsol calculation of ZrSiSe2 after structural relaxation, from Alexandria.

Structure (POSCAR):
```
ZrSiSe2
1.0
-0.085 3.597 0.656
-4.452 0.219 -1.778
0.739 -2.627 4.304
Zr Se Si
1 2 1
Cartesian
-2.226 0.109 -0.889 Zr
-0.630 -0.296 1.542 Se
-3.168 1.485 1.640 Se
-0.043 1.798 0.328 Si
```

Energy relative to the elements, uncorrected   -56.95 kJ/mol of atoms
Electronic total energy   -6.22 eV per atom
Symmetry   Immm (71)
N(E_F)   0.9 states/eV per cell
V   72.08 Å³ per cell
Crystal system   orthorhombic



The following is a PBEsol calculation of MnCu2Ir after structural relaxation, from Alexandria.

Structure (POSCAR):
```
MnCu2Ir
1.0
-1.014 -0.902 -3.908
2.270 -2.706 -2.155
-1.549 -3.722 -0.929
Cu Mn Ir
2 1 1
Cartesian
-0.219 -5.497 -5.244 Cu
0.000 0.000 0.000 Cu
-0.073 -1.832 -1.748 Mn
-0.146 -3.665 -3.496 Ir
```

Electronic total energy   -6.92 eV per atom
Symmetry   F-43m (216)
N(E_F)   3.1 states/eV per cell
V   50.08 Å³ per cell
Crystal system   cubic



The following is a PBEsol calculation of Fe3Ni4 after structural relaxation, from Alexandria.

Structure (POSCAR):
```
Fe3Ni4
1.0
2.886 0.000 0.000
0.000 2.886 0.000
-1.443 -1.443 9.108
Fe Ni
3 4
Cartesian
0.000 0.000 0.000 Fe
1.443 1.443 3.845 Fe
0.000 0.000 5.263 Fe
0.000 0.000 2.608 Ni
1.443 1.443 1.268 Ni
0.000 0.000 7.840 Ni
1.443 1.443 6.501 Ni
```

Electronic total energy   -7.33 eV per atom
Symmetry   I4/mmm (139)
N(E_F)   5.5 states/eV per cell
V   75.86 Å³ per cell
Crystal system   tetragonal



The following is a PBEsol calculation of TaTe2Os after structural relaxation, from Alexandria.

Structure (POSCAR):
```
TaTe2Os
1.0
4.244 0.158 0.000
-0.669 4.147 0.000
-1.788 -2.153 4.626
Te Os Ta
2 1 1
Cartesian
-0.894 -1.076 2.313 Te
0.894 1.076 2.313 Te
2.122 0.079 0.000 Os
-0.334 2.074 0.000 Ta
```

Energy above the most stable polymorph in this dataset   0.581 eV per atom
Energy relative to the elements, uncorrected   70.12 kJ/mol of atoms
Electronic total energy   -7.23 eV per atom
Symmetry   C2/m (12)
N(E_F)   2.3 states/eV per cell
V   81.90 Å³ per cell
Crystal system   monoclinic



The following is a PBEsol calculation of TiAlCo2Cu after structural relaxation, from Alexandria.

Structure (POSCAR):
```
TiAlCo2Cu
1.0
-0.721 3.436 2.091
1.784 -1.631 3.295
4.237 1.756 -1.425
Ti Al Co Cu
1 1 2 1
Cartesian
0.000 0.000 0.000 Ti
2.119 0.878 -0.712 Al
-0.361 1.718 1.045 Co
0.892 -0.815 1.648 Co
2.650 1.781 1.981 Cu
```

Electronic total energy   -5.27 eV per atom
Symmetry   P4/mmm (123)
N(E_F)   4.1 states/eV per cell
V   80.21 Å³ per cell
Crystal system   tetragonal



The following is a PBEsol calculation of Nd2CuIr after structural relaxation, from Alexandria.

Structure (POSCAR):
```
Nd2CuIr
1.0
4.954 0.000 0.000
2.477 4.290 0.000
2.477 1.430 4.045
Nd Cu Ir
2 1 1
Cartesian
7.430 4.290 3.033 Nd
2.477 1.430 1.011 Nd
4.954 2.860 2.022 Cu
0.000 0.000 0.000 Ir
```

Electronic total energy   -6.49 eV per atom
Symmetry   Fm-3m (225)
N(E_F)   2.8 states/eV per cell
V   85.95 Å³ per cell
Crystal system   cubic



The following is a PBEsol calculation of Li3Al after structural relaxation, from Alexandria.

Structure (POSCAR):
```
Li3Al
1.0
-2.271 -0.930 1.465
2.415 -4.191 1.084
2.390 3.235 2.972
Li Al
3 1
Cartesian
0.072 -2.560 1.274 Li
0.056 -0.095 2.815 Li
2.478 -1.791 2.705 Li
0.000 0.000 0.000 Al
```

Electronic total energy   -2.58 eV per atom
Symmetry   C2/m (12)
N(E_F)   1.4 states/eV per cell
V   66.62 Å³ per cell
Crystal system   monoclinic